(1)
8
Lattice="9.964 0.000 0.000 0.000 4.778 0.000 -2.285 0.000 4.196" Properties=species:S:1:pos:R:3 comment="LiCdInBi | Alexandria | PBE | relaxed" space_group=Cm m_tot_mub_per_atom=0.00 formation_enthalpy_0k_mev_per_atom=-136 de_polymorph_ev_per_atom=0.000 pbc="T T T"
Li 0.000 0.000 0.000
Li 4.982 2.389 0.000
Cd 8.817 2.389 2.104
Cd 3.835 0.000 2.104
In 0.773 0.000 3.153
In 5.755 2.389 3.153
Bi 1.916 2.389 1.056
Bi 6.898 0.000 1.056

=====

(2)
11
Lattice="5.804 -1.932 0.000 5.804 1.932 0.000 -1.761 0.000 12.273" Properties=species:S:1:pos:R:3 comment="Ce2Tm5Si4 | Alexandria | PBE | relaxed" space_group=C2/m m_tot_mub_per_atom=0.09 raw_formation_energy_mev_per_atom=-351 pbc="T T T"
Ce 1.919 0.000 0.012
Ce 7.928 0.000 12.260
Tm 0.095 0.000 3.031
Tm 1.331 0.000 8.478
Tm 4.923 0.000 6.136
Tm 8.515 0.000 3.795
Tm 9.752 0.000 9.241
Si 1.439 0.000 5.574
Si 3.946 0.000 2.207
Si 5.900 0.000 10.066
Si 8.408 0.000 6.698

=====

(3)
5
Lattice="4.519 0.000 0.000 0.000 4.519 0.000 0.000 0.000 3.369" Properties=species:S:1:pos:R:3 comment="TiMn2TeH | Alexandria | PBE | relaxed" e_tot_ev_per_fu=-29.00 space_group=P4/mmm m_tot_mub_per_atom=0.00 pbc="T T T"
Ti 0.000 0.000 0.000
Mn 0.000 2.259 0.000
Mn 2.259 0.000 0.000
Te 2.259 2.259 1.685
H 0.000 0.000 1.685

=====

(4)
16
Lattice="7.239 0.000 0.000 0.000 7.239 0.000 0.000 0.000 7.239" Properties=species:S:1:pos:R:3 comment="PrMgCdAu | Alexandria | PBE | relaxed" space_group=F-43m m_tot_mub_per_atom=0.00 formation_enthalpy_0k_mev_per_atom=-517 pbc="T T T"
Pr 0.000 0.000 0.000
Pr 0.000 3.619 3.619
Pr 3.619 0.000 3.619
Pr 3.619 3.619 0.000
Mg 0.000 0.000 3.619
Mg 0.000 3.619 0.000
Mg 3.619 0.000 0.000
Mg 3.619 3.619 3.619
Cd 1.810 1.810 1.810
Cd 1.810 5.429 5.429
Cd 5.429 1.810 5.429
Cd 5.429 5.429 1.810
Au 1.810 1.810 5.429
Au 1.810 5.429 1.810
Au 5.429 1.810 1.810
Au 5.429 5.429 5.429